[1]
# CsNbRhN2

A geometry-optimized CsNbRhN2 structure (GGA-PBE, Alexandria).

Values from the calculation:
Formation energy from raw total energies in kJ/mol of atoms: 172.21
Theoretical density in Mg/m³: 6.794

CIF file:
```
data_CsNbRhN2
_symmetry_space_group_name_H-M 'P 1'
_symmetry_Int_Tables_number 1
_cell_length_a 4.146
_cell_length_b 5.073
_cell_length_c 4.146
_cell_angle_alpha 90.00
_cell_angle_beta 90.00
_cell_angle_gamma 90.00
loop_
_symmetry_equiv_pos_as_xyz
'x,y,z'
loop_
_atom_site_label
_atom_site_type_symbol
_atom_site_fract_x
_atom_site_fract_y
_atom_site_fract_z
_atom_site_occupancy
Cs1 Cs 0.500 0.500 0.500 1
Nb1 Nb 0.000 0.500 0.000 1
Rh1 Rh 0.000 0.000 0.000 1
N1 N 0.000 0.000 0.500 1
N2 N 0.500 0.000 0.000 1
```

***

[2]
# Zn2TeAuS

A geometry-optimized Zn2TeAuS structure (GGA-PBE, Alexandria).

Values from the calculation:
Formation energy from raw total energies in kJ/mol of atoms: 36.89
Theoretical density in Mg/m³: 6.672

CIF file:
```
data_Zn2TeAuS
_symmetry_space_group_name_H-M 'P 1'
_symmetry_Int_Tables_number 1
_cell_length_a 4.918
_cell_length_b 5.015
_cell_length_c 4.918
_cell_angle_alpha 90.00
_cell_angle_beta 90.00
_cell_angle_gamma 90.00
loop_
_symmetry_equiv_pos_as_xyz
'x,y,z'
loop_
_atom_site_label
_atom_site_type_symbol
_atom_site_fract_x
_atom_site_fract_y
_atom_site_fract_z
_atom_site_occupancy
Zn1 Zn 0.000 0.000 0.500 1
Zn2 Zn 0.500 0.000 0.000 1
Te1 Te 0.500 0.500 0.500 1
Au1 Au 0.000 0.000 0.000 1
S1 S 0.000 0.500 0.000 1
```

***

[3]
# LiCaPd2

A geometry-optimized LiCaPd2 structure (GGA-PBE, Alexandria).

Values from the calculation:
Theoretical density in Mg/m³: 6.057
E_tot in eV/atom: -4.08

CIF file:
```
data_LiCaPd2
_symmetry_space_group_name_H-M 'P 1'
_symmetry_Int_Tables_number 1
_cell_length_a 3.337
_cell_length_b 3.337
_cell_length_c 6.397
_cell_angle_alpha 90.00
_cell_angle_beta 90.00
_cell_angle_gamma 90.00
loop_
_symmetry_equiv_pos_as_xyz
'x,y,z'
loop_
_atom_site_label
_atom_site_type_symbol
_atom_site_fract_x
_atom_site_fract_y
_atom_site_fract_z
_atom_site_occupancy
Ca1 Ca 0.500 0.500 0.500 1
Pd1 Pd 0.000 0.000 0.783 1
Pd2 Pd 0.000 0.000 0.217 1
Li1 Li 0.500 0.500 0.000 1
```

***

> Number 3 is which compound?

LiCaPd2

***

> Which formula does entry 1 have?

CsNbRhN2

***

> Look up the theoretical density of the third one.

6.057 Mg/m³